(1)
Computed, not measured: a relaxed PrNdPuCd crystal at the PBE level of DFT.

Results
- formation energy from the elements (eV per atom) = 0.06
- crystal system = cubic
- calculated total energy (eV/atom) = -6.134

Structure (CIF):
```
data_PrNdPuCd
_space_group_name_H-M_alt 'P 1'
_space_group_IT_number 1
_cell_length_a 5.5474
_cell_length_b 5.5474
_cell_length_c 5.5474
_cell_angle_alpha 60.00
_cell_angle_beta 60.00
_cell_angle_gamma 60.00
loop_
_space_group_symop_operation_xyz
'x,y,z'
loop_
_atom_site_label
_atom_site_type_symbol
_atom_site_fract_x
_atom_site_fract_y
_atom_site_fract_z
_atom_site_occupancy
Cd1 Cd 0.0000 0.0000 0.0000 1
Pu1 Pu 0.5000 0.5000 0.5000 1
Nd1 Nd 0.7500 0.7500 0.7500 1
Pr1 Pr 0.2500 0.2500 0.2500 1
```

---

(2)
Computed, not measured: a relaxed AcPm15In4 crystal at the PBE level of DFT.

Results
- formation energy from the elements (eV per atom) = -0.20
- crystal system = tetragonal
- calculated total energy (eV/atom) = -4.516

Structure (CIF):
```
data_AcPm15In4
_space_group_name_H-M_alt 'P 1'
_space_group_IT_number 1
_cell_length_a 4.9823
_cell_length_b 4.9823
_cell_length_c 25.4651
_cell_angle_alpha 90.00
_cell_angle_beta 90.00
_cell_angle_gamma 90.00
loop_
_space_group_symop_operation_xyz
'x,y,z'
loop_
_atom_site_label
_atom_site_type_symbol
_atom_site_fract_x
_atom_site_fract_y
_atom_site_fract_z
_atom_site_occupancy
Pm1 Pm 0.5000 0.5000 0.0000 1
Pm2 Pm 0.5000 0.5000 0.4024 1
Pm3 Pm 0.5000 0.0000 0.3054 1
Pm4 Pm 0.5000 0.5000 0.7908 1
Pm5 Pm 0.5000 0.0000 0.8899 1
Pm6 Pm 0.5000 0.0000 0.6946 1
Pm7 Pm 0.5000 0.0000 0.1101 1
Pm8 Pm 0.0000 0.5000 0.3054 1
Pm9 Pm 0.0000 0.5000 0.8899 1
Pm10 Pm 0.5000 0.0000 0.5000 1
Pm11 Pm 0.0000 0.5000 0.5000 1
Pm12 Pm 0.0000 0.5000 0.6946 1
Pm13 Pm 0.5000 0.5000 0.5976 1
Pm14 Pm 0.0000 0.5000 0.1101 1
Pm15 Pm 0.5000 0.5000 0.2092 1
In1 In 0.0000 0.0000 0.7918 1
In2 In 0.0000 0.0000 0.4031 1
In3 In 0.0000 0.0000 0.2082 1
In4 In 0.0000 0.0000 0.5969 1
Ac1 Ac 0.0000 0.0000 0.0000 1
```

---

(3)
Computed, not measured: a relaxed Li2PrHo crystal at the PBE level of DFT.

Results
- formation energy from the elements (eV per atom) = 0.15
- distance to the lowest polymorph of the same formula (eV per formula unit) = 0.01
- crystal system = cubic
- calculated total energy (eV/atom) = -3.144

Structure (CIF):
```
data_Li2PrHo
_space_group_name_H-M_alt 'P 1'
_space_group_IT_number 1
_cell_length_a 5.3376
_cell_length_b 5.3376
_cell_length_c 5.3376
_cell_angle_alpha 60.00
_cell_angle_beta 60.00
_cell_angle_gamma 60.00
loop_
_space_group_symop_operation_xyz
'x,y,z'
loop_
_atom_site_label
_atom_site_type_symbol
_atom_site_fract_x
_atom_site_fract_y
_atom_site_fract_z
_atom_site_occupancy
Li1 Li 0.2500 0.2500 0.2500 1
Li2 Li 0.7500 0.7500 0.7500 1
Pr1 Pr 0.0000 0.0000 0.0000 1
Ho1 Ho 0.5000 0.5000 0.5000 1
```

---

(4)
Computed, not measured: a relaxed Pr2Sm4Er2Mg crystal at the PBE level of DFT.

Results
- formation energy from the elements (eV per atom) = 0.13
- crystal system = triclinic
- calculated total energy (eV/atom) = -4.224

Structure (CIF):
```
data_Pr2Sm4Er2Mg
_space_group_name_H-M_alt 'P 1'
_space_group_IT_number 1
_cell_length_a 6.8678
_cell_length_b 7.8517
_cell_length_c 6.6762
_cell_angle_alpha 107.95
_cell_angle_beta 116.66
_cell_angle_gamma 86.40
loop_
_space_group_symop_operation_xyz
'x,y,z'
loop_
_atom_site_label
_atom_site_type_symbol
_atom_site_fract_x
_atom_site_fract_y
_atom_site_fract_z
_atom_site_occupancy
Er1 Er 0.8628 0.3983 0.0923 1
Er2 Er 0.1372 0.6017 0.9077 1
Sm1 Sm 0.3426 0.3509 0.5362 1
Sm2 Sm 0.6244 0.7800 0.9982 1
Sm3 Sm 0.6574 0.6491 0.4638 1
Sm4 Sm 0.3756 0.2200 0.0018 1
Mg1 Mg 0.0000 0.0000 0.0000 1
Pr1 Pr 0.1649 0.8161 0.4694 1
Pr2 Pr 0.8351 0.1839 0.5306 1
```

---

(5)
Computed, not measured: a relaxed Sr4Pa3P8Au crystal at the PBE level of DFT.

Results
- formation energy from the elements (eV per atom) = -0.98
- crystal system = monoclinic
- calculated total energy (eV/atom) = -6.091

Structure (CIF):
```
data_Sr4Pa3P8Au
_space_group_name_H-M_alt 'P 1'
_space_group_IT_number 1
_cell_length_a 8.2241
_cell_length_b 8.3719
_cell_length_c 8.2887
_cell_angle_alpha 119.71
_cell_angle_beta 119.74
_cell_angle_gamma 90.00
loop_
_space_group_symop_operation_xyz
'x,y,z'
loop_
_atom_site_label
_atom_site_type_symbol
_atom_site_fract_x
_atom_site_fract_y
_atom_site_fract_z
_atom_site_occupancy
P1 P 0.2405 0.7099 0.9682 1
P2 P 0.2463 0.7144 0.4925 1
P3 P 0.2722 0.2901 0.0318 1
P4 P 0.7537 0.2856 0.5075 1
P5 P 0.7386 0.7169 0.4771 1
P6 P 0.7595 0.2901 0.0318 1
P7 P 0.7278 0.7099 0.9682 1
P8 P 0.2614 0.2831 0.5229 1
Sr1 Sr 0.5000 0.0000 0.5000 1
Sr2 Sr 0.5000 0.0000 0.0000 1
Sr3 Sr 0.0000 0.0000 0.5000 1
Sr4 Sr 0.0000 0.0000 0.0000 1
Pa1 Pa 0.0000 0.5000 0.5000 1
Pa2 Pa 0.5000 0.5000 0.5000 1
Pa3 Pa 0.5000 0.5000 0.0000 1
Au1 Au 0.0000 0.5000 0.0000 1
```

---

(6)
Computed, not measured: a relaxed Sr2AsHPt6 crystal at the PBE level of DFT.

Results
- crystal system = monoclinic
- calculated total energy (eV/atom) = -5.311

Structure (CIF):
```
data_Sr2AsHPt6
_space_group_name_H-M_alt 'P 1'
_space_group_IT_number 1
_cell_length_a 5.8070
_cell_length_b 6.9773
_cell_length_c 6.9764
_cell_angle_alpha 49.32
_cell_angle_beta 65.36
_cell_angle_gamma 90.01
loop_
_space_group_symop_operation_xyz
'x,y,z'
loop_
_atom_site_label
_atom_site_type_symbol
_atom_site_fract_x
_atom_site_fract_y
_atom_site_fract_z
_atom_site_occupancy
H1 H 0.0000 0.0000 0.0000 1
Sr1 Sr 0.7851 0.2156 0.4307 1
Sr2 Sr 0.2149 0.7844 0.5693 1
Pt1 Pt 0.7679 0.7160 0.4632 1
Pt2 Pt 0.2818 0.2311 0.9491 1
Pt3 Pt 0.7182 0.7689 0.0509 1
Pt4 Pt 0.7681 0.2308 0.9489 1
Pt5 Pt 0.2321 0.2840 0.5368 1
Pt6 Pt 0.2319 0.7692 0.0511 1
As1 As 0.5000 0.5000 0.0000 1
```